[1]
DFT (PBE) results for PrTmIrO6 after structural relaxation.

Properties
**Final energy**: -7.52 eV/atom
**Formation energy without anion corrections**: -2198 meV per atom

Cell lengths 5.486, 5.486, 10.126 Å; angles 90.00, 90.00, 120.00 degrees
Fractional positions:
Pr (0.000, 0.000, 0.000)
Pr (0.000, 0.000, 0.500)
Tm (0.333, 0.667, 0.250)
Tm (0.667, 0.333, 0.750)
Ir (0.667, 0.333, 0.250)
Ir (0.333, 0.667, 0.750)
O (0.661, 0.625, 0.140)
O (0.964, 0.339, 0.140)
O (0.339, 0.964, 0.640)
O (0.036, 0.661, 0.860)
O (0.375, 0.339, 0.360)
O (0.964, 0.625, 0.360)
O (0.625, 0.964, 0.860)
O (0.661, 0.036, 0.360)
O (0.036, 0.375, 0.640)
O (0.375, 0.036, 0.140)
O (0.625, 0.661, 0.640)
O (0.339, 0.375, 0.860)

[2]
DFT (PBE) results for RbHfIn after structural relaxation.

Properties
**Formation energy**: 599 meV/atom
**Energy above the lowest structure with this stoichiometry**: 542 meV/atom
**Final energy**: -3.95 eV/atom

Cell lengths 5.573, 5.573, 8.017 Å; angles 90.00, 90.00, 90.00 degrees
Fractional positions:
Hf (0.000, 0.500, 0.587)
Hf (0.500, 0.000, 0.413)
Rb (0.000, 0.500, 0.134)
Rb (0.500, 0.000, 0.866)
In (0.000, 0.000, 0.500)
In (0.500, 0.500, 0.500)

[3]
DFT (PBE) results for CrGaCo2 after structural relaxation.

Properties
**Formation energy**: 433 meV/atom
**Final energy**: -6.28 eV/atom

Cell lengths 6.393, 6.393, 5.176 Å; angles 51.86, 51.86, 90.00 degrees
Fractional positions:
Cr (0.500, 0.500, 0.000)
Cr (0.250, 0.750, 0.500)
Co (0.588, 0.125, 0.250)
Co (0.162, 0.625, 0.250)
Co (0.375, 0.412, 0.750)
Co (0.875, 0.838, 0.750)
Ga (0.000, 0.000, 0.000)
Ga (0.750, 0.250, 0.500)

[4]
DFT (PBE) results for As2PbW after structural relaxation.

Properties
**Formation energy**: 472 meV/atom
**Final energy**: -6.02 eV/atom

Cell lengths 6.033, 6.033, 6.033 Å; angles 150.10, 120.65, 67.87 degrees
Fractional positions:
Pb (0.750, 0.250, 0.500)
As (0.053, 0.053, 0.000)
As (0.447, 0.447, 0.000)
W (0.250, 0.750, 0.500)

Which value of final energy does entry 4 give? -6.02 eV/atom

What is the formula in the first record? PrTmIrO6

Which of these has the highest final energy? RbHfIn

Number 2 is which compound? RbHfIn